Below is a geometry-optimized Al45V7 structure, with properties calculated at the GGA-PBE level.

Lattice parameters (Å, degrees): 11.088 11.088 11.061 105.95 105.95 40.29
Atoms (fractional coordinates):
1 Al 0.000 0.000 0.000
2 Al 0.020 0.020 0.256
3 Al 0.020 0.391 0.633
4 Al 0.029 0.640 0.643
5 Al 0.114 0.748 0.510
6 Al 0.116 0.116 0.729
7 Al 0.125 0.125 0.139
8 Al 0.125 0.495 0.879
9 Al 0.135 0.504 0.148
10 Al 0.207 0.207 0.989
11 Al 0.252 0.886 0.490
12 Al 0.260 0.650 0.877
13 Al 0.275 0.275 0.508
14 Al 0.277 0.651 0.294
15 Al 0.349 0.723 0.706
16 Al 0.350 0.740 0.123
17 Al 0.360 0.971 0.357
18 Al 0.371 0.371 0.387
19 Al 0.391 0.020 0.633
20 Al 0.410 0.410 0.655
21 Al 0.418 0.418 0.058
22 Al 0.495 0.125 0.879
23 Al 0.496 0.865 0.852
24 Al 0.504 0.135 0.148
25 Al 0.505 0.875 0.121
26 Al 0.582 0.582 0.942
27 Al 0.590 0.590 0.345
28 Al 0.609 0.980 0.367
29 Al 0.629 0.629 0.613
30 Al 0.640 0.029 0.643
31 Al 0.650 0.260 0.877
32 Al 0.651 0.277 0.294
33 Al 0.723 0.349 0.706
34 Al 0.725 0.725 0.492
35 Al 0.740 0.350 0.123
36 Al 0.748 0.114 0.510
37 Al 0.793 0.793 0.011
38 Al 0.865 0.496 0.852
39 Al 0.875 0.505 0.121
40 Al 0.875 0.875 0.861
41 Al 0.884 0.884 0.271
42 Al 0.886 0.252 0.490
43 Al 0.971 0.360 0.357
44 Al 0.980 0.609 0.367
45 Al 0.980 0.980 0.744
46 V 0.085 0.744 0.080
47 V 0.249 0.249 0.261
48 V 0.256 0.915 0.920
49 V 0.500 0.500 0.500
50 V 0.744 0.085 0.080
51 V 0.751 0.751 0.739
52 V 0.915 0.256 0.920

Output
M_tot	0.000	μB/cell
V	16.17	Å³/atom
calculated total energy	-4.622	eV per atom
symmetry	C2/m, No. 12
calculated formation energy	-156	meV per atom


Below is a geometry-optimized Gd2GaBi structure, with properties calculated at the GGA-PBE level.

Lattice parameters (Å, degrees): 3.984 3.984 6.751 90.00 90.00 90.00
Atoms (fractional coordinates):
1 Gd 0.000 0.000 0.241
2 Gd 0.000 0.000 0.759
3 Ga 0.500 0.500 0.000
4 Bi 0.500 0.500 0.500

Output
M_tot	14.768	μB/cell
distance to the lowest polymorph of the same formula	0	meV/atom
V	26.78	Å³/atom
calculated total energy	-9.386	eV per atom
symmetry	P4/mmm, No. 123
calculated formation energy	-619	meV per atom


Below is a geometry-optimized PrAgAu structure, with properties calculated at the GGA-PBE level.

Lattice parameters (Å, degrees): 7.813 7.813 4.081 90.00 90.00 120.00
Atoms (fractional coordinates):
1 Pr 0.000 0.401 0.000
2 Pr 0.401 0.000 0.000
3 Pr 0.599 0.599 0.000
4 Ag 0.000 0.742 0.500
5 Ag 0.258 0.258 0.500
6 Ag 0.742 0.000 0.500
7 Au 0.000 0.000 0.000
8 Au 0.333 0.667 0.500
9 Au 0.667 0.333 0.500

Output
M_tot	0.000	μB/cell
distance to the lowest polymorph of the same formula	0	meV/atom
V	23.98	Å³/atom
calculated total energy	-4.199	eV per atom
symmetry	P-62m, No. 189
calculated formation energy	-563	meV per atom


Below is a geometry-optimized PmSi2OsW structure, with properties calculated at the GGA-PBE level.

Lattice parameters (Å, degrees): 6.065 6.065 6.065 140.69 140.69 56.80
Atoms (fractional coordinates):
1 Pm 0.000 0.000 0.000
2 Si 0.383 0.383 0.000
3 Si 0.617 0.617 0.000
4 Os 0.750 0.250 0.500
5 W 0.250 0.750 0.500

Output
M_tot	0.000	μB/cell
formation energy without anion corrections	-441	meV/atom
V	17.76	Å³/atom
calculated total energy	-8.397	eV per atom
symmetry	I-4m2, No. 119


Below is a geometry-optimized BaCu2I structure, with properties calculated at the GGA-PBE level.

Lattice parameters (Å, degrees): 6.818 6.818 6.818 103.51 103.51 122.18
Atoms (fractional coordinates):
1 Ba 0.000 0.000 0.000
2 Ba 0.750 0.250 0.500
3 Cu 0.168 0.625 0.043
4 Cu 0.375 0.418 0.543
5 Cu 0.582 0.125 0.957
6 Cu 0.875 0.832 0.457
7 I 0.250 0.750 0.500
8 I 0.500 0.500 0.000

Output
M_tot	0.000	μB/cell
distance to the lowest polymorph of the same formula	0	meV/atom
formation energy without anion corrections	120	meV/atom
V	29.35	Å³/atom
calculated total energy	-2.796	eV per atom
symmetry	I-42d, No. 122


Below is a geometry-optimized CsCd2CoSb structure, with properties calculated at the GGA-PBE level.

Lattice parameters (Å, degrees): 5.329 5.329 4.918 90.00 90.00 90.00
Atoms (fractional coordinates):
1 Cs 0.000 0.000 0.000
2 Cd 0.000 0.500 0.500
3 Cd 0.500 0.000 0.500
4 Co 0.500 0.500 0.500
5 Sb 0.500 0.500 0.000

Output
M_tot	0.731	μB/cell
formation energy without anion corrections	31	meV/atom
V	27.93	Å³/atom
calculated total energy	-2.752	eV per atom
symmetry	P4/mmm, No. 123


Below is a geometry-optimized Li2CrRe structure, with properties calculated at the GGA-PBE level.

Lattice parameters (Å, degrees): 2.510 4.714 4.666 90.00 99.75 90.00
Atoms (fractional coordinates):
1 Li 0.226 0.000 0.247
2 Li 0.774 0.000 0.753
3 Cr 0.000 0.500 0.500
4 Re 0.500 0.500 0.000

Output
M_tot	0.417	μB/cell
distance to the lowest polymorph of the same formula	127	meV/atom
V	13.61	Å³/atom
calculated total energy	-6.100	eV per atom
symmetry	P2/m, No. 10
calculated formation energy	375	meV per atom


Below is a geometry-optimized Ba2TiGeO6 structure, with properties calculated at the GGA-PBE level.

Lattice parameters (Å, degrees): 9.990 9.990 9.990 33.53 33.53 33.53
Atoms (fractional coordinates):
1 Ba 0.128 0.128 0.128
2 Ba 0.286 0.286 0.286
3 Ba 0.714 0.714 0.714
4 Ba 0.872 0.872 0.872
5 Ti 0.000 0.000 0.000
6 Ti 0.500 0.500 0.500
7 Ge 0.408 0.408 0.408
8 Ge 0.592 0.592 0.592
9 O 0.153 0.606 0.606
10 O 0.208 0.208 0.705
11 O 0.208 0.705 0.208
12 O 0.295 0.792 0.792
13 O 0.394 0.394 0.847
14 O 0.394 0.847 0.394
15 O 0.606 0.153 0.606
16 O 0.606 0.606 0.153
17 O 0.705 0.208 0.208
18 O 0.792 0.295 0.792
19 O 0.792 0.792 0.295
20 O 0.847 0.394 0.394

Output
M_tot	0.000	μB/cell
formation energy without anion corrections	-2587	meV/atom
V	13.55	Å³/atom
calculated total energy	-7.197	eV per atom
symmetry	R-3m, No. 166


Below is a geometry-optimized YFeCu2 structure, with properties calculated at the GGA-PBE level.

Lattice parameters (Å, degrees): 9.039 9.039 9.039 153.15 153.15 38.34
Atoms (fractional coordinates):
1 Y 0.000 0.000 0.000
2 Y 0.750 0.250 0.500
3 Fe 0.250 0.750 0.500
4 Fe 0.500 0.500 0.000
5 Cu 0.258 0.625 0.133
6 Cu 0.375 0.508 0.633
7 Cu 0.492 0.125 0.867
8 Cu 0.875 0.742 0.367

Output
M_tot	3.692	μB/cell
V	18.81	Å³/atom
calculated total energy	-5.410	eV per atom
symmetry	I-42d, No. 122
calculated formation energy	369	meV per atom


Below is a geometry-optimized RbCd structure, with properties calculated at the GGA-PBE level.

Lattice parameters (Å, degrees): 6.461 6.461 7.506 90.00 90.00 120.00
Atoms (fractional coordinates):
1 Rb 0.333 0.667 0.250
2 Rb 0.667 0.333 0.750
3 Cd 0.333 0.667 0.750
4 Cd 0.667 0.333 0.250

Output
M_tot	0.000	μB/cell
V	67.84	Å³/atom
calculated total energy	-0.721	eV per atom
symmetry	P6_3/mmc, No. 194
calculated formation energy	220	meV per atom


Below is a geometry-optimized Pr2ErBr structure, with properties calculated at the GGA-PBE level.

Lattice parameters (Å, degrees): 3.613 3.613 9.714 90.00 90.00 90.00
Atoms (fractional coordinates):
1 Pr 0.000 0.000 0.235
2 Pr 0.000 0.000 0.765
3 Er 0.500 0.500 0.500
4 Br 0.500 0.500 0.000

Output
M_tot	0.000	μB/cell
distance to the lowest polymorph of the same formula	70	meV/atom
formation energy without anion corrections	-474	meV/atom
V	31.69	Å³/atom
calculated total energy	-4.423	eV per atom
symmetry	P4/mmm, No. 123


Below is a geometry-optimized Pa3Ge2 structure, with properties calculated at the GGA-PBE level.

Lattice parameters (Å, degrees): 11.789 3.923 10.235 90.00 90.00 90.00
Atoms (fractional coordinates):
1 Pa 0.038 0.250 0.094
2 Pa 0.127 0.750 0.580
3 Pa 0.209 0.250 0.761
4 Pa 0.291 0.750 0.261
5 Pa 0.373 0.250 0.080
6 Pa 0.462 0.750 0.594
7 Pa 0.538 0.250 0.406
8 Pa 0.627 0.750 0.920
9 Pa 0.709 0.250 0.739
10 Pa 0.791 0.750 0.239
11 Pa 0.873 0.250 0.420
12 Pa 0.962 0.750 0.906
13 Ge 0.039 0.750 0.310
14 Ge 0.205 0.750 0.979
15 Ge 0.295 0.250 0.479
16 Ge 0.461 0.250 0.810
17 Ge 0.539 0.750 0.190
18 Ge 0.705 0.750 0.521
19 Ge 0.795 0.250 0.021
20 Ge 0.961 0.250 0.690

Output
M_tot	0.007	μB/cell
distance to the lowest polymorph of the same formula	161	meV/atom
V	23.67	Å³/atom
calculated total energy	-7.810	eV per atom
symmetry	Pnma, No. 62
calculated formation energy	-265	meV per atom